Record 1
A plane-wave DFT calculation with GGA-PBE was carried out for crystalline SrZr2Os at its relaxed geometry.

The space group is P2/m (No. 10) and the conventional cell measures 5.750, 2.983 and 5.877 Å, with angles of 90.00, 119.21 and 90.00 degrees. Symmetry generates all atoms from Sr at (0.000, 0.000, 0.000), Zr at (0.000, 0.000, 0.500), Zr at (0.500, 0.500, 0.500) and Os at (0.500, 0.500, 0.000).

The value obtained for the energy above the most stable polymorph in this dataset is 591 meV per atom. The mass density comes out at 8.69 g cm⁻³.

=====

Record 2
A plane-wave DFT calculation with GGA-PBE was carried out for crystalline Sr2ZrOs at its relaxed geometry.

The space group is I4/mmm (No. 139) and the conventional cell measures 4.252, 4.252 and 10.953 Å, with angles of 90.00, 90.00 and 90.00 degrees. Symmetry generates all atoms from Sr at (0.000, 0.500, 0.250), Zr at (0.000, 0.000, 0.000) and Os at (0.000, 0.000, 0.500).

The value obtained for the energy above the most stable polymorph in this dataset is 573 meV per atom. The mass density comes out at 7.66 g cm⁻³.

=====

Record 3
A plane-wave DFT calculation with GGA-PBE was carried out for crystalline Sr2ZrOs at its relaxed geometry.

The space group is P4/mmm (No. 123) and the conventional cell measures 3.264, 3.264 and 10.339 Å, with angles of 90.00, 90.00 and 90.00 degrees. Symmetry generates all atoms from Sr at (0.000, 0.000, 0.199), Zr at (0.500, 0.500, 0.500) and Os at (0.500, 0.500, 0.000).

The value obtained for the energy above the most stable polymorph in this dataset is 750 meV per atom. The mass density comes out at 6.89 g cm⁻³.

=====

Record 4
A plane-wave DFT calculation with GGA-PBE was carried out for crystalline SrZr2Os at its relaxed geometry.

The space group is C2/m (No. 12) and the conventional cell measures 7.507, 4.289 and 7.425 Å, with angles of 90.00, 109.02 and 90.00 degrees. Symmetry generates all atoms from Sr at (0.000, 0.000, 0.000), Zr at (0.212, 0.000, 0.641) and Os at (0.000, 0.500, 0.500).

The value obtained for the energy above the most stable polymorph in this dataset is 65 meV per atom. The mass density comes out at 6.76 g cm⁻³.

=====

Record 5
A plane-wave DFT calculation with GGA-PBE was carried out for crystalline Sr2ZrOs at its relaxed geometry.

The space group is I-42d (No. 122) and the conventional cell measures 11.400, 11.400 and 4.948 Å, with angles of 90.00, 90.00 and 90.00 degrees. Symmetry generates all atoms from Sr at (0.095, 0.250, 0.125), Zr at (0.000, 0.000, 0.500) and Os at (0.000, 0.000, 0.000).

The value obtained for the energy above the most stable polymorph in this dataset is 481 meV per atom. The mass density comes out at 4.72 g cm⁻³.

=====

Record 6
A plane-wave DFT calculation with GGA-PBE was carried out for crystalline SrZr4Os at its relaxed geometry.

The space group is F-43m (No. 216) and the conventional cell measures 8.214, 8.214 and 8.214 Å, with angles of 90.00, 90.00 and 90.00 degrees. Symmetry generates all atoms from Sr at (0.000, 0.000, 0.000), Zr at (0.123, 0.123, 0.623) and Os at (0.250, 0.250, 0.250).

The total energy comes out at -7.146 eV per atom. The mass density comes out at 7.70 g cm⁻³.